# Ag2BAu SCAN PBEsol geometry
# Crystal system = tetragonal
# Symmetry = I-42d (122)
# Electronic total energy = -34.331 eV/atom
# DOS(E_F) = 0.277 states/eV/atom
data_Ag2BAu
_cell_length_a 5.7701
_cell_length_b 5.7701
_cell_length_c 5.7701
_cell_angle_alpha 98.55
_cell_angle_beta 98.55
_cell_angle_gamma 134.64
_space_group_name_H-M_alt 'P 1'
_space_group_IT_number 1
loop_
_space_group_symop_operation_xyz
'x,y,z'
loop_
_atom_site_label
_atom_site_type_symbol
_atom_site_fract_x
_atom_site_fract_y
_atom_site_fract_z
Ag1 Ag 0.0208 0.1250 0.3958
Ag2 Ag 0.3750 0.9792 0.1042
Ag3 Ag 0.7292 0.6250 0.6042
Ag4 Ag 0.8750 0.2708 0.8958
B1 B 0.0000 0.0000 0.0000
B2 B 0.7500 0.2500 0.5000
Au1 Au 0.2500 0.7500 0.5000
Au2 Au 0.5000 0.5000 0.0000

# Hg2Te SCAN PBEsol geometry
# Crystal system = tetragonal
# Raw formation energy = 0.08 eV/f.u.
# Symmetry = I4/mmm (139)
# Distance to the lowest polymorph of the same formula = 66 meV/atom
# DOS(E_F) = 0.305 states/eV/atom
data_Hg2Te
_cell_length_a 9.3109
_cell_length_b 9.3109
_cell_length_c 9.3109
_cell_angle_alpha 161.36
_cell_angle_beta 161.36
_cell_angle_gamma 26.48
_space_group_name_H-M_alt 'P 1'
_space_group_IT_number 1
loop_
_space_group_symop_operation_xyz
'x,y,z'
loop_
_atom_site_label
_atom_site_type_symbol
_atom_site_fract_x
_atom_site_fract_y
_atom_site_fract_z
Hg1 Hg 0.1734 0.1734 0.0000
Hg2 Hg 0.8266 0.8266 0.0000
Te1 Te 0.5000 0.5000 0.0000

# Tl3CuRe SCAN PBEsol geometry
# Crystal system = cubic
# Symmetry = Pm-3m (221)
# Electronic total energy = -59.614 eV/atom
# DOS(E_F) = 0.400 states/eV/atom
data_Tl3CuRe
_cell_length_a 5.2416
_cell_length_b 5.2416
_cell_length_c 5.2416
_cell_angle_alpha 90.00
_cell_angle_beta 90.00
_cell_angle_gamma 90.00
_space_group_name_H-M_alt 'P 1'
_space_group_IT_number 1
loop_
_space_group_symop_operation_xyz
'x,y,z'
loop_
_atom_site_label
_atom_site_type_symbol
_atom_site_fract_x
_atom_site_fract_y
_atom_site_fract_z
Tl1 Tl 0.0000 0.0000 0.5000
Tl2 Tl 0.0000 0.5000 0.0000
Tl3 Tl 0.5000 0.0000 0.0000
Cu1 Cu 0.5000 0.5000 0.5000
Re1 Re 0.0000 0.0000 0.0000

# TaCoSb2 SCAN PBEsol geometry
# Crystal system = tetragonal
# Raw formation energy = 1.03 eV/f.u.
# Symmetry = P4mm (99)
# DOS(E_F) = 0.312 states/eV/atom
data_TaCoSb2
_cell_length_a 3.5373
_cell_length_b 3.5373
_cell_length_c 5.7820
_cell_angle_alpha 90.00
_cell_angle_beta 90.00
_cell_angle_gamma 90.00
_space_group_name_H-M_alt 'P 1'
_space_group_IT_number 1
loop_
_space_group_symop_operation_xyz
'x,y,z'
loop_
_atom_site_label
_atom_site_type_symbol
_atom_site_fract_x
_atom_site_fract_y
_atom_site_fract_z
Ta1 Ta 0.0000 0.0000 0.0000
Co1 Co 0.5000 0.5000 0.3043
Sb1 Sb 0.0000 0.0000 0.4670
Sb2 Sb 0.5000 0.5000 0.8061

# CoPb2Br SCAN PBEsol geometry
# Crystal system = trigonal
# Raw formation energy = 0.78 eV/f.u.
# Symmetry = R-3m (166)
# DOS(E_F) = 0.681 states/eV/atom
data_CoPb2Br
_cell_length_a 7.9782
_cell_length_b 7.9782
_cell_length_c 7.9782
_cell_angle_alpha 27.25
_cell_angle_beta 27.25
_cell_angle_gamma 27.25
_space_group_name_H-M_alt 'P 1'
_space_group_IT_number 1
loop_
_space_group_symop_operation_xyz
'x,y,z'
loop_
_atom_site_label
_atom_site_type_symbol
_atom_site_fract_x
_atom_site_fract_y
_atom_site_fract_z
Co1 Co 0.0000 0.0000 0.0000
Pb1 Pb 0.2703 0.2703 0.2703
Pb2 Pb 0.7297 0.7297 0.7297
Br1 Br 0.5000 0.5000 0.5000

# TaBeIr SCAN PBEsol geometry
# Crystal system = hexagonal
# Symmetry = P-6m2 (187)
# Electronic total energy = -47.962 eV/atom
# DOS(E_F) = 0.568 states/eV/atom
data_TaBeIr
_cell_length_a 4.0861
_cell_length_b 4.0861
_cell_length_c 2.8225
_cell_angle_alpha 90.00
_cell_angle_beta 90.00
_cell_angle_gamma 120.00
_space_group_name_H-M_alt 'P 1'
_space_group_IT_number 1
loop_
_space_group_symop_operation_xyz
'x,y,z'
loop_
_atom_site_label
_atom_site_type_symbol
_atom_site_fract_x
_atom_site_fract_y
_atom_site_fract_z
Ta1 Ta 0.0000 0.0000 0.0000
Be1 Be 0.6667 0.3333 0.5000
Ir1 Ir 0.3333 0.6667 0.5000